An optimized crystal structure of SrCaSn. Source: Alexandria, functional PBE.

Output
Mass density ... 3.88 Mg/m³
Formation energy from the elements ... -41.0 kJ per mole of atoms
Total energy ... -9.0 eV/cell

Cell lengths 5.4700, 5.4700, 4.0743 Å; angles 90.00, 90.00, 120.00 degrees
Space group P3m1 (No. 156)
Unique sites:
1 Sr 0.0000 0.0000 0.0000
2 Ca 0.6667 0.3333 0.4749
3 Sn 0.3333 0.6667 0.5905